Computed, not measured: a relaxed Rb8Au3O crystal at the PBE level of DFT.

a = 8.4045 Å, b = 8.4045 Å, c = 9.7948 Å
α = 90.00°, β = 90.00°, γ = 108.82°
Fractional positions:
Rb 0.2391 0.7609 0.0000
Rb 0.7047 0.2953 0.5000
Rb 0.2970 0.2944 0.7054
Au 0.5000 0.5000 0.0000
Rb 0.7609 0.2391 0.0000
Au 0.0000 0.5000 0.2520
Rb 0.2944 0.2970 0.2946
Rb 0.7056 0.7030 0.2946
Rb 0.2953 0.7047 0.5000
Rb 0.7030 0.7056 0.7054
Au 0.5000 0.0000 0.7480
O 0.5000 0.5000 0.5000

Computed properties:
symmetry	C222
total magnetization	0.51	Bohr magnetons per cell
formation energy from raw total energies	-0.37	eV per atom

Computed, not measured: a relaxed Rb5AuO2 crystal at the PBE level of DFT.

a = 5.8264 Å, b = 7.3933 Å, c = 14.2128 Å
α = 90.00°, β = 90.00°, γ = 113.21°
Last column: magnetic moment on the atom in μB.
Fractional positions:
Rb 0.0445 0.0890 0.1116  0.00
Rb 0.0445 0.0890 0.3884  0.00
Rb 0.6715 0.3430 0.9724  0.00
O 0.8557 0.7114 0.4439  0.06
Rb 0.6715 0.3430 0.5276  0.00
Au 0.4637 0.9274 0.7500  0.00
Au 0.5363 0.0726 0.2500  0.00
O 0.1443 0.2886 0.5561  0.06
Rb 0.1956 0.3913 0.7500  0.00
Rb 0.3285 0.6570 0.0276  0.00
Rb 0.9555 0.9110 0.8884  0.00
O 0.1443 0.2886 0.9439  0.06
Rb 0.9555 0.9110 0.6116  0.00
Rb 0.3285 0.6570 0.4724  0.00
Rb 0.8044 0.6087 0.2500  0.00
O 0.8557 0.7114 0.0561  0.06

Computed properties:
symmetry	Cmcm
total magnetization	0.29	Bohr magnetons per cell
formation energy from raw total energies	-0.76	eV per atom

Computed, not measured: a relaxed Rb6Au2O crystal at the PBE level of DFT.

a = 8.0417 Å, b = 8.8376 Å, c = 11.3693 Å
α = 90.00°, β = 91.60°, γ = 90.00°
Fractional positions:
Rb 0.6552 0.2215 0.9497
Rb 0.0987 0.0266 0.7331
O 0.5000 0.5000 0.0000
Rb 0.4013 0.5266 0.7669
Rb 0.2857 0.8408 0.4522
Rb 0.7857 0.6592 0.9522
Au 0.5369 0.9079 0.7479
Rb 0.3448 0.7785 0.0503
Au 0.0369 0.5921 0.2479
Rb 0.5987 0.4734 0.2331
Rb 0.8448 0.7215 0.5503
Rb 0.7143 0.1592 0.5478
Rb 0.1552 0.2785 0.4497
Au 0.4631 0.0921 0.2521
Rb 0.9013 0.9734 0.2669
O 0.0000 0.0000 0.5000
Rb 0.2143 0.3408 0.0478
Au 0.9631 0.4079 0.7521

Computed properties:
symmetry	P2_1/c
total magnetization	0.00	Bohr magnetons per cell
formation energy from raw total energies	-0.46	eV per atom

Computed, not measured: a relaxed Rb6Au3O crystal at the PBE level of DFT.

a = 8.3560 Å, b = 10.8167 Å, c = 10.8167 Å
α = 102.70°, β = 90.00°, γ = 90.00°
Fractional positions:
Rb 0.7188 0.2111 0.7889
Rb 0.1961 0.3563 0.3143
Rb 0.6961 0.6437 0.6857
Rb 0.1408 0.0506 0.9494
Rb 0.6408 0.9494 0.0506
Au 0.4765 0.9242 0.7185
Au 0.9765 0.0758 0.2815
Rb 0.6696 0.5950 0.1136
O 0.0250 0.1926 0.8074
Au 0.4765 0.2815 0.0758
Au 0.9161 0.6030 0.3970
Au 0.4161 0.3970 0.6030
Au 0.9765 0.7185 0.9242
Rb 0.1696 0.4050 0.8864
Rb 0.1696 0.1136 0.5950
O 0.5250 0.8074 0.1926
Rb 0.6696 0.8864 0.4050
Rb 0.1961 0.6857 0.6437
Rb 0.2188 0.7889 0.2111
Rb 0.6961 0.3143 0.3563

Computed properties:
symmetry	Cmc2_1
total magnetization	0.00	Bohr magnetons per cell
energy above the lowest structure with this stoichiometry	0.030	eV per atom
formation energy from raw total energies	-0.42	eV per atom

Computed, not measured: a relaxed RbAuO3 crystal at the PBE level of DFT.

a = 4.1510 Å, b = 4.1510 Å, c = 4.1510 Å
α = 90.00°, β = 90.00°, γ = 90.00°
Last column: magnetic moment on the atom in μB.
Fractional positions:
Rb 0.5000 0.5000 0.5000  -0.02
O 0.5000 0.0000 0.0000  -0.63
O 0.0000 0.5000 0.0000  -0.19
O 0.0000 0.0000 0.5000  -0.10
Au 0.0000 0.0000 0.0000  -0.22

Computed properties:
symmetry	Pm-3m
total magnetization	1.36	Bohr magnetons per cell
formation energy from raw total energies	-0.09	eV per atom

Computed, not measured: a relaxed Rb7Au4O crystal at the PBE level of DFT.

a = 5.5851 Å, b = 10.6818 Å, c = 9.5124 Å
α = 80.96°, β = 72.93°, γ = 74.85°
Fractional positions:
Au 0.5961 0.2147 0.5931
Rb 0.7594 0.8631 0.6181
Rb 0.6324 0.4645 0.2708
Rb 0.3676 0.5355 0.7292
Rb 0.2406 0.1369 0.3819
Rb 0.5000 0.0000 0.0000
Au 0.7257 0.6288 0.9198
Au 0.4039 0.7853 0.4069
O 0.0000 0.0000 0.0000
Au 0.2743 0.3712 0.0802
Rb 0.0565 0.7659 0.1211
Rb 0.9435 0.2341 0.8789

Computed properties:
symmetry	C2/m
total magnetization	0.00	Bohr magnetons per cell
energy above the lowest structure with this stoichiometry	0.059	eV per atom
formation energy from raw total energies	-0.36	eV per atom

Computed, not measured: a relaxed Rb2AuO2 crystal at the PBE level of DFT.

a = 6.5655 Å, b = 6.5655 Å, c = 4.5670 Å
α = 90.00°, β = 90.00°, γ = 90.00°
Last column: magnetic moment on the atom in μB.
Fractional positions:
Rb 0.8407 0.3407 0.5000  0.00
Rb 0.6593 0.8407 0.5000  0.00
O 0.3162 0.8162 0.0000  0.08
Au 0.0000 0.0000 0.0000  0.04
O 0.1838 0.3162 0.0000  0.09
Au 0.5000 0.5000 0.0000  0.04
O 0.8162 0.6838 0.0000  0.08
Rb 0.3407 0.1593 0.5000  0.00
O 0.6838 0.1838 0.0000  0.08
Rb 0.1593 0.6593 0.5000  0.00

Computed properties:
symmetry	P4/mbm
total magnetization	0.46	Bohr magnetons per cell
formation energy from raw total energies	-0.41	eV per atom

Computed, not measured: a relaxed Rb12Au7O crystal at the PBE level of DFT.

a = 9.6249 Å, b = 10.7152 Å, c = 10.7152 Å
α = 68.56°, β = 72.58°, γ = 107.42°
Fractional positions:
Rb 0.8390 0.8719 0.8675
Rb 0.3974 0.7013 0.8022
Rb 0.9671 0.2606 0.8719
Au 0.0287 0.4036 0.1156
Rb 0.7065 0.8675 0.2606
Rb 0.2935 0.1325 0.7394
Rb 0.6026 0.2987 0.1978
Rb 0.0329 0.7394 0.1281
Rb 0.3040 0.5036 0.2987
Au 0.1443 0.1156 0.4808
Rb 0.6960 0.4964 0.7013
Rb 0.8004 0.1978 0.5036
Au 0.9713 0.5964 0.8844
Au 0.3749 0.5192 0.5964
Au 0.8557 0.8844 0.5192
O 0.0000 0.0000 0.0000
Au 0.5000 0.0000 0.0000
Au 0.6251 0.4808 0.4036
Rb 0.1996 0.8022 0.4964
Rb 0.1610 0.1281 0.1325

Computed properties:
symmetry	R-3
total magnetization	0.00	Bohr magnetons per cell
formation energy from raw total energies	-0.33	eV per atom